1.
Compound: CaScTa2S
Source: Alexandria
Functional: GGA-PBEsol
Structure: optimized geometry

Lattice parameters (Å, degrees): 4.613 4.613 5.217 90.00 90.00 90.00
Fractional positions:
Sc: 0.000 0.000 0.500
Ca: 0.000 0.000 0.000
S: 0.500 0.500 0.500
Ta: 0.000 0.500 0.000
Ta: 0.500 0.000 0.000

Summary:
Formation energy from raw total energies = 2230 meV per atom
D(E_F) = 7.446 states/eV/f.u.
Space-group type = P4/mmm, No. 123
ρ = 7.16 g/cm3

=====

2.
Compound: CaSe3S
Source: Alexandria
Functional: GGA-PBEsol
Structure: optimized geometry

Lattice parameters (Å, degrees): 5.335 5.335 5.335 90.00 90.00 90.00
Site moments in Bohr magnetons follow the coordinates.
Fractional positions:
Ca: 0.000 0.000 0.000  0.00
S: 0.500 0.500 0.500  0.99
Se: 0.000 0.500 0.000  0.05
Se: 0.000 0.000 0.500  0.05
Se: 0.500 0.000 0.000  0.05

Summary:
Formation energy from raw total energies = 616 meV per atom
D(E_F) = 7.639 states/eV/f.u.
Space-group type = Pm-3m, No. 221
ρ = 3.38 g/cm3

=====

3.
Compound: CaSiS3
Source: Alexandria
Functional: GGA-PBEsol
Structure: optimized geometry

Lattice parameters (Å, degrees): 4.559 4.559 4.559 90.00 90.00 90.00
Fractional positions:
Ca: 0.500 0.500 0.500
Si: 0.000 0.000 0.000
S: 0.000 0.500 0.000
S: 0.000 0.000 0.500
S: 0.500 0.000 0.000

Summary:
Formation energy from raw total energies = -845 meV per atom
D(E_F) = 2.296 states/eV/f.u.
Space-group type = Pm-3m, No. 221
ρ = 2.88 g/cm3